Entry 1:
First-principles (PBE-GGA) data for NaThCo after structural relaxation, as listed in the Open Quantum Materials Database.

Lattice parameters (Å, degrees): 4.635 4.635 4.635 60.00 60.00 60.00
Sites, in units of the cell vectors:
1 Na 0.000 0.000 0.000
2 Th 0.500 0.500 0.500
3 Co 0.250 0.250 0.250

Properties
The value obtained for the theoretical density is 7.41 Mg/m³. As for the space-group type: No. 216. The calculation puts the excess energy over the best structure of this formula in the dataset at 0 meV per atom. As for the magnetization: 0.00 μB per formula unit. The calculation puts the volume at 70.4 Å³/cell.


Entry 2:
First-principles (PBE-GGA) data for LiPmSnPd after structural relaxation, as listed in the Open Quantum Materials Database.

Lattice parameters (Å, degrees): 4.842 4.842 4.842 60.00 60.00 60.00
Sites, in units of the cell vectors:
1 Li 0.000 0.000 0.000
2 Pm 0.750 0.750 0.750
3 Sn 0.250 0.250 0.250
4 Pd 0.500 0.500 0.500

Properties
The value obtained for the theoretical density is 7.80 Mg/m³. As for the space-group type: No. 216. Its total energy is -19.0 eV/cell. As for the magnetization: 0.00 μB per formula unit. The calculation puts the volume at 80.3 Å³/cell.


Entry 3:
First-principles (PBE-GGA) data for Ta2CdOs after structural relaxation, as listed in the Open Quantum Materials Database.

Lattice parameters (Å, degrees): 4.616 4.616 4.616 60.00 60.00 60.00
Sites, in units of the cell vectors:
1 Ta 0.000 0.000 0.000
2 Ta 0.250 0.250 0.250
3 Cd 0.750 0.750 0.750
4 Os 0.500 0.500 0.500

Properties
The value obtained for the theoretical density is 15.87 Mg/m³. As for the space-group type: No. 216. Its total energy is -34.5 eV/cell. As for the magnetization: 1.30 μB per formula unit. The calculation puts the volume at 69.5 Å³/cell.


Entry 4:
First-principles (PBE-GGA) data for LuBeAlPd after structural relaxation, as listed in the Open Quantum Materials Database.

Lattice parameters (Å, degrees): 4.470 4.470 4.470 60.00 60.00 60.00
Sites, in units of the cell vectors:
1 Lu 0.000 0.000 0.000
2 Be 0.750 0.750 0.750
3 Al 0.250 0.250 0.250
4 Pd 0.500 0.500 0.500

Properties
The value obtained for the theoretical density is 8.34 Mg/m³. As for the space-group type: No. 216. The calculation puts the excess energy over the best structure of this formula in the dataset at 113 meV per atom. As for the magnetization: 0.00 μB per formula unit. The calculation puts the volume at 63.2 Å³/cell.